Record 1
The following is a DFT calculation (PBE-GGA) of a relaxed structure of GdHoAg2O4.

a b c (Å): 3.5046 3.5046 12.4788
angles (deg): 90.00 90.00 120.00
Last column: nearest neighbours and their distance in Å.
Space group P-3m1 (No. 164)
Unique sites:
Gd1 0.0000 0.0000 0.0000 (multiplicity 1)  6 O 2.29
Ho1 0.0000 0.0000 0.5000 (multiplicity 1)  6 O 2.27
Ag1 0.3333 0.6667 0.2518 (multiplicity 2)  2 O 2.07
O1 0.3333 0.6667 0.0861 (multiplicity 2)  1 Ag 2.07, 3 Gd 2.29
O2 0.3333 0.6667 0.4176 (multiplicity 2)  1 Ag 2.07, 3 Ho 2.27

Computed properties:
For the electronic total energy, the calculation gives -52.88 eV for the cell shown.

Record 2
The following is a DFT calculation (PBE-GGA) of a relaxed structure of GdHo2Tl3AgPd2.

a b c (Å): 3.7667 13.7469 7.9255
angles (deg): 90.00 90.00 90.00
Last column: nearest neighbours and their distance in Å.
Space group Amm2 (No. 38)
Unique sites:
Gd1 0.0000 0.0000 0.0000 (multiplicity 2)  4 Pd 3.07, 6 Tl 3.16-3.41, 1 Ag 3.22
Ho1 0.0000 0.2031 0.6088 (multiplicity 4)  4 Pd 3.05, 6 Tl 3.16-3.41, 1 Ag 3.22
Tl1 0.5000 0.0000 0.6792 (multiplicity 2)  2 Ag 2.87, 2 Pd 2.92, 2 Gd 3.16
Tl2 0.5000 0.1371 0.2687 (multiplicity 4)  2 Ag 2.88, 2 Pd 2.89-2.91, 2 Ho 3.16
Ag1 0.0000 0.0000 0.4065 (multiplicity 2)  6 Tl 2.87-2.88
Pd1 0.5000 0.1680 0.9050 (multiplicity 4)  3 Tl 2.89-2.92, 4 Ho 3.05, 2 Gd 3.07

Computed properties:
For the electronic total energy, the calculation gives -78.02 eV for the cell shown.

Record 3
The following is a DFT calculation (PBE-GGA) of a relaxed structure of Gd2HoTl3AgPt2.

a b c (Å): 3.7913 13.7392 7.9581
angles (deg): 90.00 90.00 90.00
Last column: nearest neighbours and their distance in Å.
Space group Amm2 (No. 38)
Unique sites:
Gd1 0.0000 0.2054 0.0000 (multiplicity 4)  4 Pt 3.07, 2 Tl 3.17, 1 Ag 3.26
Ho1 0.0000 0.0000 0.3834 (multiplicity 2)  4 Pt 3.04, 2 Tl 3.17, 1 Ag 3.27
Tl1 0.5000 0.0000 0.0644 (multiplicity 2)  2 Ag 2.87, 2 Pt 2.92, 2 Ho 3.17
Tl2 0.5000 0.1346 0.6596 (multiplicity 4)  2 Ag 2.86, 2 Pt 2.93-2.96, 2 Gd 3.17
Ag1 0.0000 0.0000 0.7939 (multiplicity 2)  6 Tl 2.86-2.87
Pt1 0.5000 0.1652 0.2953 (multiplicity 4)  3 Tl 2.92-2.96, 2 Ho 3.04, 4 Gd 3.07

Computed properties:
For the electronic total energy, the calculation gives -83.77 eV for the cell shown.

Record 4
The following is a DFT calculation (PBE-GGA) of a relaxed structure of GdHo2Tl3AgPt2.

a b c (Å): 3.7695 13.7623 7.9198
angles (deg): 90.00 90.00 90.00
Last column: nearest neighbours and their distance in Å.
Space group Amm2 (No. 38)
Unique sites:
Gd1 0.0000 0.0000 0.0000 (multiplicity 2)  4 Pt 3.07, 6 Tl 3.16-3.43, 1 Ag 3.25
Ho1 0.0000 0.2052 0.3848 (multiplicity 4)  4 Pt 3.04, 2 Tl 3.16, 1 Ag 3.26
Tl1 0.5000 0.0000 0.3201 (multiplicity 2)  2 Ag 2.85, 2 Pt 2.94, 2 Gd 3.16
Tl2 0.5000 0.1354 0.7249 (multiplicity 4)  2 Ag 2.86, 2 Pt 2.91-2.93, 2 Ho 3.16
Ag1 0.0000 0.0000 0.5895 (multiplicity 2)  6 Tl 2.85-2.86
Pt1 0.5000 0.1679 0.0907 (multiplicity 4)  3 Tl 2.91-2.94, 4 Ho 3.04, 2 Gd 3.07

Computed properties:
For the electronic total energy, the calculation gives -83.55 eV for the cell shown.

Record 5
The following is a DFT calculation (PBE-GGA) of a relaxed structure of GdHoSi2Ag2.

a b c (Å): 4.4018 4.4018 7.3442
angles (deg): 90.00 90.00 120.00
Last column: nearest neighbours and their distance in Å.
Space group P3m1 (No. 156)
Unique sites:
Gd1 0.0000 0.0000 0.0000 (multiplicity 1)  6 Si 2.99-3.33, 6 Ag 3.06-3.29
Ho1 0.0000 0.0000 0.4990 (multiplicity 1)  6 Si 2.97-3.29, 6 Ag 2.99-3.22
Si1 0.3333 0.6667 0.7071 (multiplicity 1)  3 Ag 2.58
Si2 0.6667 0.3333 0.2136 (multiplicity 1)  3 Ag 2.59
Ag1 0.3333 0.6667 0.2845 (multiplicity 1)  3 Si 2.59
Ag2 0.6667 0.3333 0.7684 (multiplicity 1)  3 Si 2.58

Computed properties:
For the electronic total energy, the calculation gives -29.04 eV for the cell shown.

Record 6
The following is a DFT calculation (PBE-GGA) of a relaxed structure of GdHoAg2Sn2.

a b c (Å): 4.7312 4.7312 7.3700
angles (deg): 90.00 90.00 120.00
Last column: nearest neighbours and their distance in Å.
Space group P3m1 (No. 156)
Unique sites:
Gd1 0.0000 0.0000 0.0000 (multiplicity 1)  3 Ag 3.08, 6 Sn 3.18-3.43
Ho1 0.0000 0.0000 0.5006 (multiplicity 1)  3 Ag 3.06, 6 Sn 3.17-3.41
Ag1 0.3333 0.6667 0.1921 (multiplicity 1)  4 Sn 2.81-3.05, 3 Gd 3.08
Ag2 0.6667 0.3333 0.6887 (multiplicity 1)  4 Sn 2.81-3.00, 3 Ho 3.06
Sn1 0.3333 0.6667 0.7780 (multiplicity 1)  4 Ag 2.81-3.05
Sn2 0.6667 0.3333 0.2811 (multiplicity 1)  4 Ag 2.81-3.00

Computed properties:
For the electronic total energy, the calculation gives -26.49 eV for the cell shown.

Record 7
The following is a DFT calculation (PBE-GGA) of a relaxed structure of GdInAg.

a b c (Å): 4.8899 4.8899 3.4550
angles (deg): 90.00 90.00 120.00
Last column: nearest neighbours and their distance in Å.
Space group P-6m2 (No. 187)
Unique sites:
Gd1 0.0000 0.0000 0.0000 (multiplicity 1)  6 Ag 3.31, 6 In 3.31, 2 Gd 3.46
In1 0.3333 0.6667 0.5000 (multiplicity 1)  3 Ag 2.82
Ag1 0.6667 0.3333 0.5000 (multiplicity 1)  3 In 2.82

Computed properties:
For the electronic total energy, the calculation gives -11.48 eV for the cell shown.

Record 8
The following is a DFT calculation (PBE-GGA) of a relaxed structure of GdInAg.

a b c (Å): 6.8027 6.8027 6.8027
angles (deg): 90.00 90.00 90.00
Last column: nearest neighbours and their distance in Å.
Space group F-43m (No. 216)
Unique sites:
Gd1 0.0000 0.0000 0.0000 (multiplicity 4)  4 Ag 2.95
In1 0.0000 0.0000 0.5000 (multiplicity 4)  4 Ag 2.95
Ag1 0.2500 0.2500 0.2500 (multiplicity 4)  4 Gd 2.95, 4 In 2.95

Computed properties:
For the electronic total energy, the calculation gives -44.47 eV for the cell shown.

Record 9
The following is a DFT calculation (PBE-GGA) of a relaxed structure of Gd3In3AgIr2.

a b c (Å): 7.6896 7.6896 3.9325
angles (deg): 90.00 90.00 120.00
Last column: nearest neighbours and their distance in Å.
Space group P-62m (No. 189)
Unique sites:
Gd1 0.0000 0.4138 0.0000 (multiplicity 3)  4 Ir 3.04, 2 In 3.15, 1 Ag 3.18
In1 0.0000 0.7345 0.5000 (multiplicity 3)  2 Ag 2.83, 2 Ir 2.86, 2 Gd 3.15
Ag1 0.0000 0.0000 0.0000 (multiplicity 1)  6 In 2.83
Ir1 0.3333 0.6667 0.5000 (multiplicity 2)  3 In 2.86, 6 Gd 3.04

Computed properties:
For the electronic total energy, the calculation gives -48.19 eV for the cell shown.

Record 10
The following is a DFT calculation (PBE-GGA) of a relaxed structure of Nd2GdIn3AgIr2.

a b c (Å): 4.0440 13.2916 7.7306
angles (deg): 90.00 90.00 90.00
Last column: nearest neighbours and their distance in Å.
Space group Amm2 (No. 38)
Unique sites:
Nd1 0.0000 0.2079 0.0000 (multiplicity 4)  4 Ir 3.08-3.10, 4 In 3.21-3.45, 1 Ag 3.21
Gd1 0.0000 0.0000 0.6236 (multiplicity 2)  4 Ir 3.04, 1 Ag 3.19, 2 In 3.20
In1 0.5000 0.0000 0.9450 (multiplicity 2)  2 Ir 2.86, 2 Ag 2.88
In2 0.5000 0.1301 0.3392 (multiplicity 4)  2 Ag 2.84, 2 Ir 2.87-2.93
Ag1 0.0000 0.0000 0.2104 (multiplicity 2)  6 In 2.84-2.88
Ir1 0.5000 0.1639 0.7056 (multiplicity 4)  3 In 2.86-2.93, 2 Gd 3.04, 4 Nd 3.08-3.10

Computed properties:
For the electronic total energy, the calculation gives -96.32 eV for the cell shown.

Record 11
The following is a DFT calculation (PBE-GGA) of a relaxed structure of PrGd2In3AgIr2.

a b c (Å): 3.9793 13.4510 7.6839
angles (deg): 90.00 90.00 90.00
Last column: nearest neighbours and their distance in Å.
Space group Amm2 (No. 38)
Unique sites:
Pr1 0.0000 0.0000 0.0000 (multiplicity 2)  4 Ir 3.10, 6 In 3.19-3.45, 1 Ag 3.20
Gd1 0.0000 0.2068 0.6206 (multiplicity 4)  4 Ir 3.03-3.05, 2 In 3.18, 1 Ag 3.20
In1 0.5000 0.0000 0.6757 (multiplicity 2)  2 Ag 2.82, 2 Ir 2.91
In2 0.5000 0.1337 0.2826 (multiplicity 4)  2 Ir 2.83-2.89, 2 Ag 2.87
Ag1 0.0000 0.0000 0.4158 (multiplicity 2)  6 In 2.82-2.87
Ir1 0.5000 0.1694 0.9114 (multiplicity 4)  3 In 2.83-2.91, 4 Gd 3.03-3.05, 2 Pr 3.10

Computed properties:
For the electronic total energy, the calculation gives -96.23 eV for the cell shown.

Record 12
The following is a DFT calculation (PBE-GGA) of a relaxed structure of TbGd2In3AgIr2.

a b c (Å): 3.8700 13.3950 7.7347
angles (deg): 90.00 90.00 90.00
Last column: nearest neighbours and their distance in Å.
Space group Amm2 (No. 38)
Unique sites:
Tb1 0.0000 0.0000 0.0000 (multiplicity 2)  4 Ir 3.03, 2 In 3.14, 1 Ag 3.19
Gd1 0.0000 0.2064 0.6191 (multiplicity 4)  4 Ir 3.03, 2 In 3.14, 1 Ag 3.19
In1 0.5000 0.0000 0.6807 (multiplicity 2)  2 Ag 2.84, 2 Ir 2.86, 2 Tb 3.14
In2 0.5000 0.1339 0.2788 (multiplicity 4)  2 Ag 2.83, 2 Ir 2.86-2.87, 2 Gd 3.14
Ag1 0.0000 0.0000 0.4127 (multiplicity 2)  6 In 2.83-2.84
Ir1 0.5000 0.1666 0.9128 (multiplicity 4)  3 In 2.86-2.87, 2 Tb 3.03, 4 Gd 3.03

Computed properties:
For the electronic total energy, the calculation gives -96.32 eV for the cell shown.

Record 13
The following is a DFT calculation (PBE-GGA) of a relaxed structure of GdY2In3AgIr2.

a b c (Å): 3.8611 13.3751 7.7258
angles (deg): 90.00 90.00 90.00
Last column: nearest neighbours and their distance in Å.
Space group Amm2 (No. 38)
Unique sites:
Gd1 0.0000 0.0000 0.0000 (multiplicity 2)  4 Ir 3.02, 2 In 3.13, 1 Ag 3.19
Y1 0.0000 0.2064 0.3808 (multiplicity 4)  4 Ir 3.03, 2 In 3.13, 1 Ag 3.19
In1 0.5000 0.0000 0.3194 (multiplicity 2)  2 Ag 2.83, 2 Ir 2.86, 2 Gd 3.13
In2 0.5000 0.1341 0.7211 (multiplicity 4)  2 Ag 2.83, 2 Ir 2.86, 2 Y 3.13
Ag1 0.0000 0.0000 0.5872 (multiplicity 2)  6 In 2.83
Ir1 0.5000 0.1666 0.0872 (multiplicity 4)  3 In 2.86, 2 Gd 3.02, 4 Y 3.03

Computed properties:
For the electronic total energy, the calculation gives -103.65 eV for the cell shown.

Record 14
The following is a DFT calculation (PBE-GGA) of a relaxed structure of Gd2YIn3AgIr2.

a b c (Å): 3.8679 13.3960 7.7309
angles (deg): 90.00 90.00 90.00
Last column: nearest neighbours and their distance in Å.
Space group Amm2 (No. 38)
Unique sites:
Gd1 0.0000 0.2064 0.0000 (multiplicity 4)  4 Ir 3.03, 2 In 3.14, 1 Ag 3.19
Y1 0.0000 0.0000 0.3810 (multiplicity 2)  4 Ir 3.03, 2 In 3.14, 1 Ag 3.19
In1 0.5000 0.0000 0.0617 (multiplicity 2)  2 Ag 2.83, 2 Ir 2.86, 2 Y 3.14
In2 0.5000 0.1338 0.6596 (multiplicity 4)  2 Ag 2.83, 2 Ir 2.86-2.87, 2 Gd 3.14
Ag1 0.0000 0.0000 0.7936 (multiplicity 2)  6 In 2.83
Ir1 0.5000 0.1667 0.2936 (multiplicity 4)  3 In 2.86-2.87, 4 Gd 3.03, 2 Y 3.03

Computed properties:
For the electronic total energy, the calculation gives -100.00 eV for the cell shown.

Record 15
The following is a DFT calculation (PBE-GGA) of a relaxed structure of La2GdIn3AgPt2.

a b c (Å): 4.0365 13.6582 7.8750
angles (deg): 90.00 90.00 90.00
Last column: nearest neighbours and their distance in Å.
Space group Amm2 (No. 38)
Unique sites:
La1 0.0000 0.2078 0.0000 (multiplicity 4)  4 Pt 3.12-3.13, 2 In 3.28, 1 Ag 3.28
Gd1 0.0000 0.0000 0.6222 (multiplicity 2)  4 Pt 3.09, 2 In 3.24, 1 Ag 3.25
In1 0.5000 0.0000 0.9445 (multiplicity 2)  2 Ag 2.90, 2 Pt 2.92, 2 Gd 3.24
In2 0.5000 0.1270 0.3402 (multiplicity 4)  2 Ag 2.85, 2 Pt 2.93-3.04
Ag1 0.0000 0.0000 0.2095 (multiplicity 2)  6 In 2.85-2.90
Pt1 0.5000 0.1641 0.7070 (multiplicity 4)  3 In 2.92-3.04, 2 Gd 3.09, 4 La 3.12-3.13

Computed properties:
For the electronic total energy, the calculation gives -90.10 eV for the cell shown.

Record 16
The following is a DFT calculation (PBE-GGA) of a relaxed structure of LiGdInAg.

a b c (Å): 6.9294 6.9294 6.9294
angles (deg): 90.00 90.00 90.00
Last column: nearest neighbours and their distance in Å.
Space group F-43m (No. 216)
Unique sites:
Li1 0.0000 0.0000 0.0000 (multiplicity 4)  4 In 3.00, 4 Gd 3.00
Gd1 0.2500 0.2500 0.2500 (multiplicity 4)  4 Li 3.00, 4 Ag 3.00
In1 0.2500 0.2500 0.7500 (multiplicity 4)  4 Ag 3.00, 4 Li 3.00
Ag1 0.0000 0.0000 0.5000 (multiplicity 4)  4 Gd 3.00, 4 In 3.00

Computed properties:
For the electronic total energy, the calculation gives -54.89 eV for the cell shown.

Record 17
The following is a DFT calculation (PBE-GGA) of a relaxed structure of GdLu2In3AgPt2.

a b c (Å): 3.7360 13.5560 7.7706
angles (deg): 90.00 90.00 90.00
Last column: nearest neighbours and their distance in Å.
Space group Amm2 (No. 38)
Unique sites:
Gd1 0.0000 0.0000 0.0000 (multiplicity 2)  4 Pt 3.05, 6 In 3.13-3.38, 1 Ag 3.19
Lu1 0.0000 0.2049 0.6134 (multiplicity 4)  4 Pt 2.99, 2 In 3.12, 1 Ag 3.19
In1 0.5000 0.0000 0.6765 (multiplicity 2)  2 Ag 2.79, 2 Pt 2.92
In2 0.5000 0.1357 0.2749 (multiplicity 4)  2 Ag 2.82, 2 Pt 2.83-2.89, 2 Lu 3.12
Ag1 0.0000 0.0000 0.4101 (multiplicity 2)  6 In 2.79-2.82
Pt1 0.5000 0.1697 0.9072 (multiplicity 4)  3 In 2.83-2.92, 4 Lu 2.99, 2 Gd 3.05

Computed properties:
For the electronic total energy, the calculation gives -88.28 eV for the cell shown.

Record 18
The following is a DFT calculation (PBE-GGA) of a relaxed structure of Gd3Mg2InAgPt2.

a b c (Å): 4.0130 13.1351 7.6750
angles (deg): 90.00 90.00 90.00
Last column: nearest neighbours and their distance in Å.
Space group Amm2 (No. 38)
Unique sites:
Gd1 0.0000 0.0000 0.0000 (multiplicity 2)  4 Pt 3.04, 1 Ag 3.15, 2 In 3.21
Gd2 0.0000 0.2062 0.3647 (multiplicity 4)  4 Pt 3.03-3.07, 2 Mg 3.21, 1 Ag 3.21, 2 In 3.38
Mg1 0.5000 0.1287 0.7025 (multiplicity 4)  2 Ag 2.76, 2 Pt 2.85-2.86
In1 0.5000 0.0000 0.3261 (multiplicity 2)  2 Ag 2.85, 2 Pt 2.97
Ag1 0.0000 0.0000 0.5900 (multiplicity 2)  4 Mg 2.76, 2 In 2.85
Pt1 0.5000 0.1688 0.0688 (multiplicity 4)  2 Mg 2.85-2.86, 1 In 2.97, 6 Gd 3.03-3.07

Computed properties:
For the electronic total energy, the calculation gives -83.24 eV for the cell shown.

Record 19
The following is a DFT calculation (PBE-GGA) of a relaxed structure of NdGd2In3Ag2Pt.

a b c (Å): 4.0467 13.5146 7.8032
angles (deg): 90.00 90.00 90.00
Last column: nearest neighbours and their distance in Å.
Space group Amm2 (No. 38)
Unique sites:
Nd1 0.0000 0.0000 0.0000 (multiplicity 2)  4 Ag 3.15, 1 Pt 3.16, 6 In 3.36-3.41
Gd1 0.0000 0.1987 0.5991 (multiplicity 4)  1 Pt 3.08, 4 Ag 3.11-3.12, 6 In 3.38-3.39
In1 0.5000 0.0000 0.6555 (multiplicity 2)  2 Pt 2.81, 2 Ag 2.98
In2 0.5000 0.1275 0.2740 (multiplicity 4)  2 Pt 2.85, 2 Ag 2.92-2.97
Ag1 0.5000 0.1692 0.8998 (multiplicity 4)  3 In 2.92-2.98, 4 Gd 3.11-3.12, 2 Nd 3.15
Pt1 0.0000 0.0000 0.4049 (multiplicity 2)  6 In 2.81-2.85, 2 Gd 3.08

Computed properties:
For the electronic total energy, the calculation gives -78.66 eV for the cell shown.

Record 20
The following is a DFT calculation (PBE-GGA) of a relaxed structure of Gd3In3NiAg2.

a b c (Å): 7.7824 7.7824 3.9237
angles (deg): 90.00 90.00 120.00
Last column: nearest neighbours and their distance in Å.
Space group P-62m (No. 189)
Unique sites:
Gd1 0.0000 0.3974 0.0000 (multiplicity 3)  4 Ag 3.09, 1 Ni 3.09, 6 In 3.34-3.40
In1 0.0000 0.7541 0.5000 (multiplicity 3)  2 Ni 2.74, 2 Ag 2.99
Ni1 0.0000 0.0000 0.0000 (multiplicity 1)  6 In 2.74
Ag1 0.3333 0.6667 0.5000 (multiplicity 2)  3 In 2.99, 6 Gd 3.09

Computed properties:
For the electronic total energy, the calculation gives -37.52 eV for the cell shown.

Taking the records one at a time from the top gives volume values of 16.592 22.799 23.030 22.825 20.539 23.812 23.849 26.234 22.375 23.085 22.849 22.275 22.165 22.254 24.120 20.795 21.863 22.476 23.709 22.867 Å³/atom.
Taking the records one at a time from the top gives magnetic moment values of 0.0 0.0 0.0 0.0 0.0 0.0 0.0 0.0 0.0 0.0 0.0 0.0 0.0 0.0 0.0 0.0 0.0 0.0 0.0 0.0 μB per formula unit.